VASP calculation (PBE) on a geometry-optimized Sm5Zn2In2 structure.

Geometry as POSCAR:
```
Sm5Zn2In2
1.0
8.335 -4.234 0.000
8.335 4.234 0.000
0.000 0.000 7.244
Sm Zn In
10 4 4
direct
0.000 0.000 0.000
0.059 0.673 0.673
0.173 0.559 0.173
0.327 0.941 0.673
0.441 0.827 0.173
0.500 0.500 0.500
0.559 0.173 0.827
0.673 0.059 0.327
0.827 0.441 0.827
0.941 0.327 0.327
0.123 0.877 0.393
0.377 0.623 0.893
0.623 0.377 0.107
0.877 0.123 0.607
0.220 0.220 0.000
0.280 0.280 0.500
0.720 0.720 0.500
0.780 0.780 0.000
```

DFT formation energy ... -2.434 eV per formula unit
Magnetic moment ... 0.00 μB per formula unit